--- 1 ---
! Cu2AgRu | the Alexandria database | PBE-GGA | optimized geometry; values from VASP
! - volume (Å³/cell) = 56.6
&SYSTEM
  ibrav = 0, nat = 4, ntyp = 3
/
ATOMIC_SPECIES
Ag 107.87 Ag.upf
Cu 63.55 Cu.upf
Ru 101.07 Ru.upf
ATOMIC_POSITIONS crystal
Ag 0.750 0.250 0.500
Cu 0.000 0.000 0.000
Cu 0.250 0.750 0.500
Ru 0.500 0.500 0.000
CELL_PARAMETERS angstrom
4.730 -0.018 0.000
1.669 4.426 0.000
-3.200 -2.204 2.698



--- 2 ---
! Cu2AgRu | the Alexandria database | PBE-GGA | optimized geometry; values from VASP
! - volume (Å³/cell) = 56.0
&SYSTEM
  ibrav = 0, nat = 4, ntyp = 3
/
ATOMIC_SPECIES
Ag 107.87 Ag.upf
Cu 63.55 Cu.upf
Ru 101.07 Ru.upf
ATOMIC_POSITIONS crystal
Ag 0.500 0.000 0.500
Cu 0.000 0.000 0.000
Cu 0.000 0.500 0.500
Ru 0.500 0.500 0.000
CELL_PARAMETERS angstrom
2.670 0.000 0.000
0.000 4.579 0.000
0.000 0.000 4.579



Stability check: which of them is most stable? 2.